No. 1
{
  "formula": "TeOs2Br",
  "functional": "GGA-PBE",
  "state": "optimized geometry",
  "lattice": [[2.987, 0.000, 0.000], [0.000, 4.587, 0.000], [0.000, 0.000, 5.289]],
  "species": ["Te", "Os", "Os", "Br"],
  "fractional_positions": [[0.000, 0.000, 0.000], [0.000, 0.500, 0.500], [0.500, 0.500, 0.000], [0.500, 0.000, 0.500]],
  "e_form_raw_mev_per_atom": 1439,
  "dos_at_fermi_per_ev_atom": 1.09,
  "vol_a3_per_cell": 72.5,
  "space_group": "Pmmm (47)",
  "total_energy_ev_per_fu": -21.52
}

***

No. 2
{
  "formula": "Ce2NdAl2Pt7",
  "functional": "GGA-PBE",
  "state": "optimized geometry",
  "lattice": [[2.942, -2.908, 0.000], [2.942, 2.908, 0.000], [-2.040, 0.000, 13.966]],
  "species": ["Ce", "Ce", "Nd", "Al", "Al", "Pt", "Pt", "Pt", "Pt", "Pt", "Pt", "Pt"],
  "fractional_positions": [[0.114, 0.114, 0.361], [0.886, 0.886, 0.639], [0.000, 0.000, 0.000], [0.413, 0.413, 0.746], [0.587, 0.587, 0.254], [0.055, 0.555, 0.159], [0.371, 0.371, 0.573], [0.445, 0.945, 0.841], [0.500, 0.500, 0.000], [0.555, 0.055, 0.159], [0.629, 0.629, 0.427], [0.945, 0.445, 0.841]],
  "formation_energy_kcal_per_mol_atoms": -22.715,
  "dos_at_fermi_per_ev_atom": 1.13,
  "vol_a3_per_cell": 239.0,
  "space_group": "C2/m (12)",
  "total_energy_ev_per_fu": -78.23
}

***

No. 3
{
  "formula": "Nd3Sm2PuAs6",
  "functional": "GGA-PBE",
  "state": "optimized geometry",
  "lattice": [[9.210, -2.116, 0.000], [9.210, 2.116, 0.000], [-1.944, 0.000, 8.232]],
  "species": ["Nd", "Nd", "Nd", "Sm", "Sm", "Pu", "As", "As", "As", "As", "As", "As"],
  "fractional_positions": [[0.000, 0.000, 0.000], [0.332, 0.332, 0.667], [0.668, 0.668, 0.333], [0.333, 0.333, 0.166], [0.667, 0.667, 0.834], [0.000, 0.000, 0.500], [0.164, 0.164, 0.584], [0.167, 0.167, 0.082], [0.499, 0.499, 0.258], [0.501, 0.501, 0.742], [0.833, 0.833, 0.918], [0.836, 0.836, 0.416]],
  "formation_energy_kcal_per_mol_atoms": -32.904,
  "dos_at_fermi_per_ev_atom": 1.30,
  "vol_a3_per_cell": 320.9,
  "space_group": "C2/m (12)",
  "total_energy_ev_per_fu": -83.09
}

***

No. 4
{
  "formula": "BaTcHg2",
  "functional": "GGA-PBE",
  "state": "optimized geometry",
  "lattice": [[3.542, 0.000, 0.000], [0.000, 4.405, 0.000], [0.000, 0.000, 14.525]],
  "species": ["Ba", "Ba", "Tc", "Tc", "Hg", "Hg", "Hg", "Hg"],
  "fractional_positions": [[0.000, 0.000, 0.000], [0.500, 0.500, 0.500], [0.000, 0.500, 0.304], [0.500, 0.000, 0.804], [0.000, 0.000, 0.648], [0.000, 0.500, 0.809], [0.500, 0.000, 0.309], [0.500, 0.500, 0.148]],
  "formation_energy_kcal_per_mol_atoms": 8.575,
  "dos_at_fermi_per_ev_atom": 0.83,
  "vol_a3_per_cell": 226.7,
  "space_group": "Imm2 (44)",
  "total_energy_ev_per_fu": -11.40
}

***

No. 5
{
  "formula": "CeYOs",
  "functional": "GGA-PBE",
  "state": "optimized geometry",
  "lattice": [[8.596, 0.000, 0.000], [0.000, 4.954, 0.000], [-2.856, 0.000, 7.423]],
  "species": ["Ce", "Ce", "Ce", "Ce", "Y", "Y", "Y", "Y", "Os", "Os", "Os", "Os"],
  "fractional_positions": [[0.126, 0.000, 0.377], [0.374, 0.500, 0.623], [0.626, 0.500, 0.377], [0.874, 0.000, 0.623], [0.125, 0.500, 0.874], [0.375, 0.000, 0.126], [0.625, 0.000, 0.874], [0.875, 0.500, 0.126], [0.245, 0.000, 0.736], [0.255, 0.500, 0.264], [0.745, 0.500, 0.736], [0.755, 0.000, 0.264]],
  "formation_energy_kcal_per_mol_atoms": -3.264,
  "dos_at_fermi_per_ev_atom": 1.70,
  "vol_a3_per_cell": 316.1,
  "space_group": "C2/m (12)",
  "total_energy_ev_per_fu": -24.05
}

***

No. 6
{
  "formula": "DyIn3Hg3",
  "functional": "GGA-PBE",
  "state": "optimized geometry",
  "lattice": [[7.865, 0.000, 0.000], [0.000, 7.865, 0.000], [0.000, 0.000, 7.865]],
  "species": ["Dy", "Dy", "In", "In", "In", "In", "In", "In", "Hg", "Hg", "Hg", "Hg", "Hg", "Hg"],
  "fractional_positions": [[0.000, 0.000, 0.000], [0.500, 0.500, 0.500], [0.000, 0.250, 0.500], [0.000, 0.750, 0.500], [0.250, 0.500, 0.000], [0.500, 0.000, 0.250], [0.500, 0.000, 0.750], [0.750, 0.500, 0.000], [0.000, 0.500, 0.250], [0.000, 0.500, 0.750], [0.250, 0.000, 0.500], [0.500, 0.250, 0.000], [0.500, 0.750, 0.000], [0.750, 0.000, 0.500]],
  "formation_energy_kcal_per_mol_atoms": 9.370,
  "dos_at_fermi_per_ev_atom": 0.75,
  "vol_a3_per_cell": 486.5,
  "space_group": "Pm-3n (223)",
  "total_energy_ev_per_fu": -10.88
}

***

No. 7
{
  "formula": "KIn2Os",
  "functional": "GGA-PBE",
  "state": "optimized geometry",
  "lattice": [[6.410, 0.000, 0.000], [0.000, 6.410, 0.000], [0.000, 0.000, 15.959]],
  "species": ["K", "K", "K", "K", "In", "In", "In", "In", "In", "In", "In", "In", "Os", "Os", "Os", "Os"],
  "fractional_positions": [[0.000, 0.250, 0.375], [0.000, 0.750, 0.625], [0.500, 0.250, 0.125], [0.500, 0.750, 0.875], [0.000, 0.000, 0.000], [0.000, 0.500, 0.000], [0.250, 0.250, 0.750], [0.250, 0.750, 0.250], [0.500, 0.000, 0.500], [0.500, 0.500, 0.500], [0.750, 0.250, 0.750], [0.750, 0.750, 0.250], [0.000, 0.250, 0.875], [0.000, 0.750, 0.125], [0.500, 0.250, 0.625], [0.500, 0.750, 0.375]],
  "formation_energy_kcal_per_mol_atoms": 14.483,
  "dos_at_fermi_per_ev_atom": 1.04,
  "vol_a3_per_cell": 655.7,
  "space_group": "I4_1/amd (141)",
  "total_energy_ev_per_fu": -15.29
}

***

No. 8
{
  "formula": "CrFe2As",
  "functional": "GGA-PBE",
  "state": "optimized geometry",
  "lattice": [[3.128, 0.000, 0.000], [0.000, 4.208, 0.000], [0.000, 0.000, 7.824]],
  "species": ["Cr", "Cr", "Fe", "Fe", "Fe", "Fe", "As", "As"],
  "fractional_positions": [[0.000, 0.000, 0.000], [0.500, 0.500, 0.000], [0.000, 0.500, 0.242], [0.000, 0.500, 0.758], [0.500, 0.000, 0.242], [0.500, 0.000, 0.758], [0.000, 0.000, 0.500], [0.500, 0.500, 0.500]],
  "formation_energy_kcal_per_mol_atoms": 6.863,
  "dos_at_fermi_per_ev_atom": 0.92,
  "vol_a3_per_cell": 103.0,
  "space_group": "Cmmm (65)",
  "total_energy_ev_per_fu": -30.01
}

***

No. 9
{
  "formula": "AlTe2Se",
  "functional": "GGA-PBE",
  "state": "optimized geometry",
  "lattice": [[3.619, 0.000, 0.000], [0.000, 3.619, 0.000], [0.000, 0.000, 7.273]],
  "species": ["Al", "Te", "Te", "Se"],
  "fractional_positions": [[0.000, 0.000, 0.000], [0.500, 0.500, 0.220], [0.500, 0.500, 0.780], [0.000, 0.000, 0.500]],
  "e_form_raw_mev_per_atom": 215,
  "dos_at_fermi_per_ev_atom": 0.76,
  "vol_a3_per_cell": 95.3,
  "space_group": "P4/mmm (123)",
  "total_energy_ev_per_fu": -12.65
}

***

No. 10
{
  "formula": "SbTe2Pd6",
  "functional": "GGA-PBE",
  "state": "optimized geometry",
  "lattice": [[6.934, 0.000, 0.000], [0.000, 6.255, 0.000], [-5.302, 0.000, 7.985]],
  "species": ["Sb", "Sb", "Te", "Te", "Te", "Te", "Pd", "Pd", "Pd", "Pd", "Pd", "Pd", "Pd", "Pd", "Pd", "Pd", "Pd", "Pd"],
  "fractional_positions": [[0.000, 0.000, 0.000], [0.000, 0.500, 0.500], [0.334, 0.127, 0.785], [0.334, 0.373, 0.285], [0.666, 0.627, 0.715], [0.666, 0.873, 0.215], [0.006, 0.171, 0.293], [0.006, 0.329, 0.793], [0.247, 0.657, 0.043], [0.247, 0.843, 0.543], [0.490, 0.234, 0.597], [0.490, 0.266, 0.097], [0.510, 0.734, 0.903], [0.510, 0.766, 0.403], [0.753, 0.157, 0.457], [0.753, 0.343, 0.957], [0.994, 0.671, 0.207], [0.994, 0.829, 0.707]],
  "e_form_raw_mev_per_atom": -241,
  "dos_at_fermi_per_ev_atom": 0.45,
  "vol_a3_per_cell": 346.4,
  "space_group": "P2_1/c (14)",
  "total_energy_ev_per_fu": -43.73
}

***

No. 11
{
  "formula": "BeCu2Se",
  "functional": "GGA-PBE",
  "state": "optimized geometry",
  "lattice": [[3.771, 0.000, 0.000], [0.000, 3.780, 0.000], [0.000, 0.000, 7.721]],
  "species": ["Be", "Be", "Cu", "Cu", "Cu", "Cu", "Se", "Se"],
  "fractional_positions": [[0.000, 0.000, 0.000], [0.500, 0.500, 0.000], [0.000, 0.500, 0.183], [0.000, 0.500, 0.817], [0.500, 0.000, 0.183], [0.500, 0.000, 0.817], [0.000, 0.000, 0.500], [0.500, 0.500, 0.500]],
  "e_form_raw_mev_per_atom": 210,
  "dos_at_fermi_per_ev_atom": 0.31,
  "vol_a3_per_cell": 110.1,
  "space_group": "Cmmm (65)",
  "total_energy_ev_per_fu": -14.56
}

***

No. 12
{
  "formula": "VWC3",
  "functional": "GGA-PBE",
  "state": "optimized geometry",
  "lattice": [[3.771, 0.000, 0.000], [0.000, 3.771, 0.000], [0.000, 0.000, 3.771]],
  "species": ["V", "W", "C", "C", "C"],
  "fractional_positions": [[0.000, 0.000, 0.000], [0.500, 0.500, 0.500], [0.000, 0.000, 0.500], [0.000, 0.500, 0.000], [0.500, 0.000, 0.000]],
  "formation_energy_kcal_per_mol_atoms": 46.235,
  "dos_at_fermi_per_ev_atom": 0.72,
  "vol_a3_per_cell": 53.6,
  "space_group": "Pm-3m (221)",
  "total_energy_ev_per_fu": -39.72
}

***

Copy entry 11 word for word.
{
  "formula": "BeCu2Se",
  "functional": "GGA-PBE",
  "state": "optimized geometry",
  "lattice": [[3.771, 0.000, 0.000], [0.000, 3.780, 0.000], [0.000, 0.000, 7.721]],
  "species": ["Be", "Be", "Cu", "Cu", "Cu", "Cu", "Se", "Se"],
  "fractional_positions": [[0.000, 0.000, 0.000], [0.500, 0.500, 0.000], [0.000, 0.500, 0.183], [0.000, 0.500, 0.817], [0.500, 0.000, 0.183], [0.500, 0.000, 0.817], [0.000, 0.000, 0.500], [0.500, 0.500, 0.500]],
  "e_form_raw_mev_per_atom": 210,
  "dos_at_fermi_per_ev_atom": 0.31,
  "vol_a3_per_cell": 110.1,
  "space_group": "Cmmm (65)",
  "total_energy_ev_per_fu": -14.56
}